No. 1
Material: K2SnO
Method: DFT, GGA-PBE
State: optimized geometry Values from VASP.

Calculated values
Space group: Fm-3m
Total magnetization: 1.96 μB per formula unit
Offset from the most stable computed form: 65.1 kJ per mole of atoms
Raw formation energy: 0.153 eV per atom

Quantum ESPRESSO input file:
```
&SYSTEM
  ibrav = 0, nat = 4, ntyp = 3
/
ATOMIC_SPECIES
K 39.10 K.upf
Sn 118.71 Sn.upf
O 16.00 O.upf
CELL_PARAMETERS angstrom
-2.1214 -4.8925 1.5435
-5.5010 -0.7441 0.0642
-2.3991 -3.2978 -3.7667
ATOMIC_POSITIONS crystal
K 0.2500 0.2500 0.2500
K 0.7500 0.7500 0.7500
Sn 0.5000 0.5000 0.5000
O 0.0000 0.0000 0.0000
```

No. 2
Material: K2Sn3O7
Method: DFT, GGA-PBE
State: optimized geometry Values from VASP.

Calculated values
Space group: Pnma
Total magnetization: 0.00 μB per formula unit
Raw formation energy: -1.685 eV per atom

Quantum ESPRESSO input file:
```
&SYSTEM
  ibrav = 0, nat = 48, ntyp = 3
/
ATOMIC_SPECIES
K 39.10 K.upf
Sn 118.71 Sn.upf
O 16.00 O.upf
CELL_PARAMETERS angstrom
3.1953 0.0000 0.0000
0.0000 12.9024 0.0000
0.0000 0.0000 17.1426
ATOMIC_POSITIONS crystal
K 0.2500 0.4398 0.3061
K 0.7500 0.5602 0.6939
K 0.7500 0.9398 0.1939
K 0.2500 0.0602 0.8061
K 0.2500 0.8926 0.4338
K 0.7500 0.1074 0.5662
K 0.7500 0.3926 0.0662
K 0.2500 0.6074 0.9338
Sn 0.2500 0.1118 0.0187
Sn 0.7500 0.8882 0.9813
Sn 0.7500 0.6118 0.4813
Sn 0.2500 0.3882 0.5187
Sn 0.2500 0.7080 0.2915
Sn 0.7500 0.2920 0.7085
Sn 0.7500 0.2080 0.2085
Sn 0.2500 0.7920 0.7915
Sn 0.2500 0.1656 0.3758
Sn 0.7500 0.8344 0.6242
Sn 0.7500 0.6656 0.1242
Sn 0.2500 0.3344 0.8758
O 0.2500 0.5703 0.0946
O 0.7500 0.4297 0.9054
O 0.7500 0.0703 0.4054
O 0.2500 0.9297 0.5946
O 0.2500 0.7594 0.1737
O 0.7500 0.2406 0.8263
O 0.7500 0.2594 0.3263
O 0.2500 0.7406 0.6737
O 0.2500 0.3027 0.1791
O 0.7500 0.6973 0.8209
O 0.7500 0.8027 0.3209
O 0.2500 0.1973 0.6791
O 0.2500 0.1102 0.2511
O 0.7500 0.8898 0.7489
O 0.7500 0.6102 0.2489
O 0.2500 0.3898 0.7511
O 0.2500 0.6307 0.4006
O 0.7500 0.3693 0.5994
O 0.7500 0.1307 0.0994
O 0.2500 0.8693 0.9006
O 0.2500 0.2416 0.4807
O 0.7500 0.7584 0.5193
O 0.7500 0.7416 0.0193
O 0.2500 0.2584 0.9807
O 0.2500 0.5531 0.5514
O 0.7500 0.4469 0.4486
O 0.7500 0.0531 0.9486
O 0.2500 0.9469 0.0514
```